No. 1
# ZnSb3 GGA-PBE relaxed
# theoretical density: 7.216 Mg/m³
# crystal system: tetragonal
# distance to the lowest polymorph of the same formula: 0.146 eV/atom
data_ZnSb3
_chemical_formula_sum 'Zn1 Sb3'
_symmetry_space_group_name_H-M 'P 1'
_symmetry_Int_Tables_number 1
_symmetry_space_group_name_Hall 'P 1'
_cell_length_a 3.794
_cell_length_b 3.794
_cell_length_c 6.887
_cell_angle_alpha 90.00
_cell_angle_beta 90.00
_cell_angle_gamma 90.00
loop_
_atom_site_label
_atom_site_type_symbol
_atom_site_fract_x
_atom_site_fract_y
_atom_site_fract_z
Zn1 Zn 0.000 0.000 0.000
Sb1 Sb 0.000 0.000 0.500
Sb2 Sb 0.500 0.500 0.226
Sb3 Sb 0.500 0.500 0.774

---

No. 2
# Zn2Sb GGA-PBE relaxed
# uncorrected energy: -2.09 eV/atom
# theoretical density: 6.772 Mg/m³
# crystal system: orthorhombic
data_Zn2Sb
_chemical_formula_sum 'Zn4 Sb2'
_symmetry_space_group_name_H-M 'P 1'
_symmetry_Int_Tables_number 1
_symmetry_space_group_name_Hall 'P 1'
_cell_length_a 6.960
_cell_length_b 6.960
_cell_length_c 5.297
_cell_angle_alpha 90.00
_cell_angle_beta 90.00
_cell_angle_gamma 151.14
loop_
_atom_site_label
_atom_site_type_symbol
_atom_site_fract_x
_atom_site_fract_y
_atom_site_fract_z
Zn1 Zn 0.031 0.969 0.750
Zn2 Zn 0.384 0.616 0.750
Zn3 Zn 0.616 0.384 0.250
Zn4 Zn 0.969 0.031 0.250
Sb1 Sb 0.300 0.700 0.250
Sb2 Sb 0.700 0.300 0.750

---

No. 3
# Zn6Sb5 GGA-PBE relaxed
# theoretical density: 6.139 Mg/m³
# crystal system: trigonal
# distance to the lowest polymorph of the same formula: 0.180 eV/atom
data_Zn6Sb5
_chemical_formula_sum 'Zn12 Sb10'
_symmetry_space_group_name_H-M 'P 1'
_symmetry_Int_Tables_number 1
_symmetry_space_group_name_Hall 'P 1'
_cell_length_a 8.171
_cell_length_b 8.171
_cell_length_c 8.171
_cell_angle_alpha 93.88
_cell_angle_beta 93.88
_cell_angle_gamma 93.88
loop_
_atom_site_label
_atom_site_type_symbol
_atom_site_fract_x
_atom_site_fract_y
_atom_site_fract_z
Zn1 Zn 0.003 0.384 0.378
Zn2 Zn 0.116 0.497 0.122
Zn3 Zn 0.122 0.116 0.497
Zn4 Zn 0.378 0.003 0.384
Zn5 Zn 0.384 0.378 0.003
Zn6 Zn 0.497 0.122 0.116
Zn7 Zn 0.503 0.878 0.884
Zn8 Zn 0.616 0.622 0.997
Zn9 Zn 0.622 0.997 0.616
Zn10 Zn 0.878 0.884 0.503
Zn11 Zn 0.884 0.503 0.878
Zn12 Zn 0.997 0.616 0.622
Sb1 Sb 0.120 0.120 0.120
Sb2 Sb 0.136 0.750 0.364
Sb3 Sb 0.250 0.636 0.864
Sb4 Sb 0.364 0.136 0.750
Sb5 Sb 0.380 0.380 0.380
Sb6 Sb 0.620 0.620 0.620
Sb7 Sb 0.636 0.864 0.250
Sb8 Sb 0.750 0.364 0.136
Sb9 Sb 0.864 0.250 0.636
Sb10 Sb 0.880 0.880 0.880

---

No. 4
# Zn3Sb GGA-PBE relaxed
# uncorrected energy: -1.77 eV/atom
# theoretical density: 6.472 Mg/m³
# crystal system: trigonal
data_Zn3Sb
_chemical_formula_sum 'Zn3 Sb1'
_symmetry_space_group_name_H-M 'P 1'
_symmetry_Int_Tables_number 1
_symmetry_space_group_name_Hall 'P 1'
_cell_length_a 5.159
_cell_length_b 5.159
_cell_length_c 5.159
_cell_angle_alpha 114.29
_cell_angle_beta 114.29
_cell_angle_gamma 114.29
loop_
_atom_site_label
_atom_site_type_symbol
_atom_site_fract_x
_atom_site_fract_y
_atom_site_fract_z
Zn1 Zn 0.000 0.500 0.500
Zn2 Zn 0.500 0.000 0.500
Zn3 Zn 0.500 0.500 0.000
Sb1 Sb 0.000 0.000 0.000

---

No. 5
# Zn5Sb GGA-PBE relaxed
# theoretical density: 6.865 Mg/m³
# crystal system: hexagonal
# distance to the lowest polymorph of the same formula: 0.017 eV/atom
data_Zn5Sb
_chemical_formula_sum 'Zn5 Sb1'
_symmetry_space_group_name_H-M 'P 1'
_symmetry_Int_Tables_number 1
_symmetry_space_group_name_Hall 'P 1'
_cell_length_a 5.368
_cell_length_b 5.368
_cell_length_c 4.350
_cell_angle_alpha 90.00
_cell_angle_beta 90.00
_cell_angle_gamma 120.00
loop_
_atom_site_label
_atom_site_type_symbol
_atom_site_fract_x
_atom_site_fract_y
_atom_site_fract_z
Zn1 Zn 0.000 0.598 0.000
Zn2 Zn 0.333 0.667 0.500
Zn3 Zn 0.402 0.402 0.000
Zn4 Zn 0.598 0.000 0.000
Zn5 Zn 0.667 0.333 0.500
Sb1 Sb 0.000 0.000 0.500

---

No. 6
# Zn2Sb GGA-PBE relaxed
# uncorrected energy: -2.09 eV/atom
# theoretical density: 6.743 Mg/m³
# crystal system: hexagonal
data_Zn2Sb
_chemical_formula_sum 'Zn4 Sb2'
_symmetry_space_group_name_H-M 'P 1'
_symmetry_Int_Tables_number 1
_symmetry_space_group_name_Hall 'P 1'
_cell_length_a 4.278
_cell_length_b 4.278
_cell_length_c 7.850
_cell_angle_alpha 90.00
_cell_angle_beta 90.00
_cell_angle_gamma 120.00
loop_
_atom_site_label
_atom_site_type_symbol
_atom_site_fract_x
_atom_site_fract_y
_atom_site_fract_z
Zn1 Zn 0.333 0.667 0.063
Zn2 Zn 0.333 0.667 0.437
Zn3 Zn 0.667 0.333 0.563
Zn4 Zn 0.667 0.333 0.937
Sb1 Sb 0.000 0.000 0.250
Sb2 Sb 0.000 0.000 0.750